[1]
Material: ScMnCl5
Method: DFT, PBE
State: optimized geometry

raw formation energy = -1.622 eV per atom
final energy = -5.1557 eV per atom
density = 2.255 g/cm³

a = 6.9607 Å, b = 6.9607 Å, c = 9.7564 Å
α = 110.93°, β = 110.93°, γ = 89.80°
Closest atoms and distances in Å follow each position.
Atoms (fractional coordinates):
Sc: 0.0000 0.0000 0.0000  6 Cl 2.50-2.51
Sc: 0.5000 0.5000 0.5000  6 Cl 2.50-2.51
Mn: 0.8755 0.6245 0.2500  4 Cl 2.35-2.37
Mn: 0.1245 0.3755 0.7500  4 Cl 2.35-2.37
Cl: 0.8318 0.8992 0.1569  1 Mn 2.37, 1 Sc 2.50
Cl: 0.8127 0.3139 0.5297  1 Mn 2.35, 1 Sc 2.51
Cl: 0.3992 0.3318 0.6569  1 Mn 2.37, 1 Sc 2.50
Cl: 0.3103 0.1897 0.2500  2 Sc 2.51
Cl: 0.1861 0.6873 0.9703  1 Mn 2.35, 1 Sc 2.51
Cl: 0.8139 0.3127 0.0297  1 Mn 2.35, 1 Sc 2.51
Cl: 0.6897 0.8103 0.7500  2 Sc 2.51
Cl: 0.6008 0.6682 0.3431  1 Mn 2.37, 1 Sc 2.50
Cl: 0.1873 0.6861 0.4703  1 Mn 2.35, 1 Sc 2.51
Cl: 0.1682 0.1008 0.8431  1 Mn 2.37, 1 Sc 2.50


[2]
Material: ScMn2Cl
Method: DFT, PBE
State: optimized geometry

raw formation energy = 0.068 eV per atom
final energy = -6.5614 eV per atom
density = 4.592 g/cm³

a = 4.9901 Å, b = 3.0661 Å, c = 4.4975 Å
α = 89.58°, β = 90.00°, γ = 90.00°
Closest atoms and distances in Å follow each position.
Atoms (fractional coordinates):
Cl: 0.5000 0.7500 0.7500  4 Sc 2.71-2.73, 4 Mn 2.84
Mn: 0.0000 0.9633 0.0131  3 Mn 2.49-2.77
Mn: 0.0000 0.5367 0.4869  3 Mn 2.49-2.77
Sc: 0.5000 0.2500 0.2500  4 Cl 2.71-2.73, 4 Mn 2.85


[3]
Material: ScMn2Cl
Method: DFT, PBE
State: optimized geometry

raw formation energy = -0.293 eV per atom
final energy = -6.9222 eV per atom
density = 3.905 g/cm³

a = 3.0884 Å, b = 3.0884 Å, c = 8.4825 Å
α = 90.00°, β = 90.00°, γ = 90.00°
Closest atoms and distances in Å follow each position.
Atoms (fractional coordinates):
Cl: 0.5000 0.5000 0.6656  4 Sc 2.71
Mn: 0.0000 0.0000 0.1113  4 Mn 2.46
Mn: 0.5000 0.5000 0.2460  4 Mn 2.46
Sc: 0.0000 0.0000 0.4771  4 Cl 2.71, 4 Mn 2.93


[4]
Material: ScMnCl
Method: DFT, PBE
State: optimized geometry

raw formation energy = -0.498 eV per atom
final energy = -6.2810 eV per atom
density = 3.626 g/cm³

a = 3.3285 Å, b = 3.3285 Å, c = 6.4604 Å
α = 90.00°, β = 90.00°, γ = 120.00°
Closest atoms and distances in Å follow each position.
Atoms (fractional coordinates):
Cl: 0.0000 0.0000 0.9556  3 Sc 2.62
Mn: 0.6667 0.3333 0.3644  3 Sc 2.80
Sc: 0.3333 0.6667 0.6800  3 Cl 2.62, 3 Mn 2.80


[5]
Material: ScMnCl
Method: DFT, PBE
State: optimized geometry

raw formation energy = -1.015 eV per atom
final energy = -6.7976 eV per atom
density = 3.642 g/cm³

a = 3.6211 Å, b = 3.6211 Å, c = 11.0619 Å
α = 90.24°, β = 99.18°, γ = 120.00°
Closest atoms and distances in Å follow each position.
Atoms (fractional coordinates):
Sc: 0.8767 0.4360 0.3128  3 Cl 2.64, 3 Mn 2.84
Sc: 0.1233 0.5640 0.6872  3 Cl 2.64, 3 Mn 2.84
Mn: 0.3267 0.1632 0.4900  3 Mn 2.10
Mn: 0.6733 0.8368 0.5100  3 Mn 2.10
Cl: 0.5544 0.2816 0.8360  3 Sc 2.64
Cl: 0.4456 0.7184 0.1640  3 Sc 2.64


[6]
Material: ScMn2Cl
Method: DFT, PBE
State: optimized geometry

raw formation energy = 0.306 eV per atom
final energy = -6.3237 eV per atom
density = 4.428 g/cm³

a = 5.1286 Å, b = 5.1286 Å, c = 5.1286 Å
α = 132.77°, β = 132.77°, γ = 69.02°
Closest atoms and distances in Å follow each position.
Atoms (fractional coordinates):
Cl: 0.7500 0.2500 0.5000  8 Mn 2.91-2.95, 4 Sc 2.95
Mn: 0.0000 0.0000 0.0000  4 Sc 2.91, 4 Mn 2.95, 4 Cl 2.95
Mn: 0.2500 0.7500 0.5000  4 Cl 2.91, 4 Mn 2.95, 4 Sc 2.95
Sc: 0.5000 0.5000 0.0000  8 Mn 2.91-2.95, 4 Cl 2.95


[7]
Material: ScMn4Cl
Method: DFT, PBE
State: optimized geometry

raw formation energy = 0.482 eV per atom
final energy = -6.9936 eV per atom
density = 4.687 g/cm³

a = 5.3180 Å, b = 5.3180 Å, c = 5.3180 Å
α = 60.00°, β = 60.00°, γ = 60.00°
Closest atoms and distances in Å follow each position.
Atoms (fractional coordinates):
Sc: 0.7500 0.7500 0.7500  12 Mn 3.11, 4 Cl 3.26
Mn: 0.8672 0.3776 0.3776  6 Mn 2.60-2.71
Mn: 0.3776 0.3776 0.8672  6 Mn 2.60-2.71
Mn: 0.3776 0.8672 0.3776  6 Mn 2.60-2.71
Mn: 0.3776 0.3776 0.3776  6 Mn 2.60-2.71
Cl: 0.0000 0.0000 0.0000  12 Mn 3.12, 4 Sc 3.26


[8]
Material: ScMn2Cl
Method: DFT, PBE
State: optimized geometry

raw formation energy = -0.294 eV per atom
final energy = -6.9234 eV per atom
density = 4.007 g/cm³

a = 3.0874 Å, b = 3.0907 Å, c = 8.4053 Å
α = 79.46°, β = 90.00°, γ = 90.00°
Closest atoms and distances in Å follow each position.
Atoms (fractional coordinates):
Cl: 0.5000 0.9766 0.6736  4 Sc 2.71
Mn: 0.0000 0.7598 0.1040  4 Mn 2.47
Mn: 0.5000 0.1906 0.2429  4 Mn 2.47
Sc: 0.0000 0.5730 0.4795  4 Cl 2.71, 4 Mn 2.93


[9]
Material: Sc3MnCl
Method: DFT, PBE
State: optimized geometry

raw formation energy = 0.105 eV per atom
final energy = -5.8972 eV per atom
density = 3.167 g/cm³

a = 4.9064 Å, b = 4.9064 Å, c = 4.9064 Å
α = 90.00°, β = 90.00°, γ = 90.00°
Closest atoms and distances in Å follow each position.
Atoms (fractional coordinates):
Sc: 0.0000 0.5000 0.0000  2 Mn 2.45
Sc: 0.0000 0.0000 0.5000  2 Mn 2.45
Sc: 0.5000 0.0000 0.0000  2 Mn 2.45
Mn: 0.0000 0.0000 0.0000  6 Sc 2.45
Cl: 0.5000 0.5000 0.5000  12 Sc 3.47


[10]
Material: ScMn2Cl
Method: DFT, PBE
State: optimized geometry

raw formation energy = 0.153 eV per atom
final energy = -6.4765 eV per atom
density = 4.592 g/cm³

a = 5.1229 Å, b = 3.6648 Å, c = 3.6648 Å
α = 90.00°, β = 90.00°, γ = 90.00°
Closest atoms and distances in Å follow each position.
Atoms (fractional coordinates):
Cl: 0.5000 0.0000 0.5000  4 Sc 2.59
Mn: 0.0000 0.0000 0.0000  4 Mn 2.59
Mn: 0.0000 0.5000 0.5000  4 Mn 2.59
Sc: 0.5000 0.5000 0.0000  4 Cl 2.59


[11]
Material: ScMnCl
Method: DFT, PBE
State: optimized geometry

raw formation energy = -0.066 eV per atom
final energy = -5.8487 eV per atom
density = 4.309 g/cm³

a = 4.3443 Å, b = 4.3443 Å, c = 3.1912 Å
α = 90.00°, β = 90.00°, γ = 120.00°
Closest atoms and distances in Å follow each position.
Atoms (fractional coordinates):
Cl: 0.0000 0.0000 0.1666  3 Mn 2.51
Mn: 0.6667 0.3333 0.1667  3 Cl 2.51
Sc: 0.3333 0.6667 0.6667  6 Mn 2.97, 6 Cl 2.97, 2 Sc 3.19


[12]
Material: ScMn2Cl
Method: DFT, PBE
State: optimized geometry

raw formation energy = 0.384 eV per atom
final energy = -6.2453 eV per atom
density = 4.436 g/cm³

a = 4.6528 Å, b = 4.6528 Å, c = 4.6528 Å
α = 60.00°, β = 60.00°, γ = 60.00°
Closest atoms and distances in Å follow each position.
Atoms (fractional coordinates):
Cl: 0.5000 0.5000 0.5000  4 Mn 2.85, 4 Sc 2.85
Mn: 0.0000 0.0000 0.0000  4 Sc 2.85, 4 Mn 2.85
Mn: 0.2500 0.2500 0.2500  4 Mn 2.85, 4 Cl 2.85
Sc: 0.7500 0.7500 0.7500  4 Mn 2.85, 4 Cl 2.85


Among the records above, which one has the lowest final energy?
ScMn4Cl


Which formula does entry 11 have?
ScMnCl


Among the records above, which one has the lowest raw formation energy?
ScMnCl5


What is the raw formation energy in the fourth record?
-0.498 eV per atom